VASP calculation (PBE-GGA) on Hf2TiZn2 after structural relaxation.

Geometry as extended XYZ:
```
5
Lattice="-2.032 -2.003 0.980 1.372 -2.125 -1.498 6.606 -3.041 7.483" Properties=species:S:1:pos:R:3 pbc="T T T"
Hf 4.411 -2.308 4.431
Hf 3.567 -2.858 1.555
Ti 0.000 0.000 0.000
Zn 0.720 -2.415 1.201
Zn 5.226 -4.754 5.764
```

Output
space group	Cmmm
formation energy from the elements	-0.007	eV/atom